Computed, not measured: a geometry-optimized Li6CuIr structure at the PBE-GGA level of DFT.

Cell: 6.8575 6.8159 4.8688 Å, 45.30 44.94 59.99°
Last column: nearest neighbours and their distance in Å.
Positions (direct):
Li1 0.0010 0.5021 0.7403  2 Li 2.37-2.50
Li2 0.5007 0.7567 0.7426  2 Li 2.36-2.49
Li3 0.9990 0.4979 0.2597  2 Li 2.37-2.50
Li4 0.4993 0.2433 0.2574  2 Li 2.36-2.49
Li5 0.2431 0.0003 0.2593  2 Li 2.36-2.49
Li6 0.7569 0.9997 0.7407  2 Li 2.36-2.49
Ir1 0.0000 0.0000 0.0000  12 Li 2.69-2.71
Cu1 0.5000 0.5000 0.5000  12 Li 2.72-2.75

Calculated total energy = -3.03 eV/atom
Formation enthalpy at 0 K = 0.171 eV/f.u.